## NaMgGaF6 (PBE)

Data for an optimized crystal structure of NaMgGaF6.

a b c (Å): 5.2404 5.2404 9.8335
angles (deg): 90.00 90.00 120.00
Element x y z (fractional)
Na  0.0000  0.0000  0.0000
Ga  0.6667  0.3333  0.2500
F  0.3597  0.3723  0.8572
Mg  0.3333  0.6667  0.2500
Ga  0.3333  0.6667  0.7500
Na  0.0000  0.0000  0.5000
F  0.9874  0.3597  0.1428
F  0.6277  0.9874  0.8572
F  0.6403  0.0126  0.3572
F  0.9874  0.6277  0.3572
F  0.3597  0.9874  0.6428
F  0.3723  0.3597  0.3572
F  0.0126  0.3723  0.6428
F  0.3723  0.0126  0.1428
F  0.6277  0.6403  0.6428
F  0.6403  0.6277  0.1428
Mg  0.6667  0.3333  0.7500
F  0.0126  0.6403  0.8572

Summary:
Magnetization in μB per formula unit: 0.0
E in eV/atom: -4.91
DOS at the Fermi energy in states/eV/atom: 0.00
Formation energy without anion corrections in eV/atom: -3.003
Space-group type: P-31c